Entry 1:
The following is a PBE calculation of a relaxed YTcCl crystal, from Alexandria.

Calculated values
- VASP energy: -6.24 eV/atom
- D(E_F): 3.61 states/eV per cell
- Uncorrected formation energy: -0.01 eV per atom
- Mass density: 6.6 g/cm³

Lattice parameters (Å, degrees): 4.3698 4.3698 3.3946 90.00 90.00 120.00
Space group P-6m2 (No. 187)
Inequivalent atoms, fractional coordinates:
Y: 0.0000 0.0000 0.0000 x1
Tc: 0.6667 0.3333 0.5000 x1
Cl: 0.3333 0.6667 0.5000 x1

***

Entry 2:
The following is a PBE calculation of a relaxed NpAg3Te4 crystal, from Alexandria.

Calculated values
- VASP energy: -4.41 eV/atom
- D(E_F): 24.61 states/eV per cell
- Uncorrected formation energy: -0.15 eV per atom
- Mass density: 6.8 g/cm³

Lattice parameters (Å, degrees): 6.018 9.989 8.652 90.00 90.00 90.00
Space group Pmmn (No. 59, origin choice 2)
Inequivalent atoms, fractional coordinates:
Np: 0.250 0.250 0.166 x2
Ag: 0.250 0.507 0.670 x4
Ag: 0.250 0.750 0.159 x2
Te: 0.250 0.250 0.817 x2
Te: 0.250 0.512 0.340 x4
Te: 0.250 0.750 0.835 x2

***

Entry 3:
The following is a PBE calculation of a relaxed KTl2BiF6 crystal, from Alexandria.

Calculated values
- VASP energy: -4.37 eV/atom
- D(E_F): 0.00 states/eV per cell
- Uncorrected formation energy: -2.28 eV per atom
- Mass density: 6.0 g/cm³

Lattice parameters (Å, degrees): 6.584 6.854 11.492 90.00 124.40 90.00
Space group P2_1/c (No. 14)
Inequivalent atoms, fractional coordinates:
K: 0.000 0.000 0.000 x2
Tl: 0.238 0.041 0.748 x4
Bi: 0.500 0.000 0.500 x2
F: 0.163 0.173 0.453 x4
F: 0.271 0.719 0.439 x4
F: 0.379 0.046 0.271 x4

***

Entry 4:
The following is a PBE calculation of a relaxed Tm6CoHg2 crystal, from Alexandria.

Calculated values
- VASP energy: -4.08 eV/atom
- DFT formation energy: -246 meV per atom
- D(E_F): 14.63 states/eV per cell
- Mass density: 10.2 g/cm³

Lattice parameters (Å, degrees): 6.792 7.122 12.027 90.00 124.20 90.00
Space group P2_1/c (No. 14)
Inequivalent atoms, fractional coordinates:
Tm: 0.148 0.199 0.452 x4
Tm: 0.265 0.698 0.456 x4
Tm: 0.351 0.008 0.250 x4
Co: 0.000 0.000 0.000 x2
Hg: 0.217 0.080 0.750 x4

***

Entry 5:
The following is a PBE calculation of a relaxed MnV2PdC crystal, from Alexandria.

Calculated values
- VASP energy: -8.55 eV/atom
- DFT formation energy: -183 meV per atom
- D(E_F): 4.33 states/eV per cell
- Mass density: 7.5 g/cm³

Lattice parameters (Å, degrees): 3.986 3.986 3.848 90.00 90.00 90.00
Space group P4/mmm (No. 123)
Inequivalent atoms, fractional coordinates:
Mn: 0.000 0.000 0.000 x1
V: 0.000 0.500 0.500 x2
Pd: 0.500 0.500 0.000 x1
C: 0.000 0.000 0.500 x1

***

Entry 6:
The following is a PBE calculation of a relaxed La3Te2Br2 crystal, from Alexandria.

Calculated values
- VASP energy: -4.98 eV/atom
- D(E_F): 10.11 states/eV per cell
- Uncorrected formation energy: -1.49 eV per atom
- Mass density: 5.8 g/cm³

Lattice parameters (Å, degrees): 14.616 4.432 7.478 90.00 98.77 90.00
Space group C2/m (No. 12)
Inequivalent atoms, fractional coordinates:
La: 0.000 0.000 0.000 x2
La: 0.246 0.500 0.237 x4
Te: 0.119 0.000 0.387 x4
Br: 0.116 0.500 0.855 x4

***

Entry 7:
The following is a PBE calculation of a relaxed Nb3CrIn crystal, from Alexandria.

Calculated values
- VASP energy: -7.84 eV/atom
- DFT formation energy: 676 meV per atom
- D(E_F): 4.54 states/eV per cell
- Mass density: 7.3 g/cm³

Lattice parameters (Å, degrees): 4.653 4.653 4.653 90.00 90.00 90.00
Space group Pm-3m (No. 221)
Inequivalent atoms, fractional coordinates:
Nb: 0.000 0.000 0.500 x3
Cr: 0.000 0.000 0.000 x1
In: 0.500 0.500 0.500 x1

***

Entry 8:
The following is a PBE calculation of a relaxed ScFeHg2 crystal, from Alexandria.

Calculated values
- VASP energy: -3.85 eV/atom
- DFT formation energy: 3 meV per atom
- D(E_F): 7.40 states/eV per cell
- Mass density: 11.0 g/cm³

Lattice parameters (Å, degrees): 4.349 4.349 8.036 90.00 90.00 90.00
Space group I4/mmm (No. 139)
Inequivalent atoms, fractional coordinates:
Sc: 0.000 0.000 0.000 x2
Fe: 0.000 0.000 0.500 x2
Hg: 0.000 0.500 0.250 x4

***

Entry 9:
The following is a PBE calculation of a relaxed Mg2CdMo crystal, from Alexandria.

Calculated values
- VASP energy: -3.57 eV/atom
- DFT formation energy: 163 meV per atom
- D(E_F): 1.00 states/eV per cell
- Mass density: 5.6 g/cm³

Lattice parameters (Å, degrees): 2.878 2.878 9.180 90.00 90.00 90.00
Space group P4/mmm (No. 123)
Inequivalent atoms, fractional coordinates:
Mg: 0.000 0.000 0.232 x2
Cd: 0.500 0.500 0.500 x1
Mo: 0.500 0.500 0.000 x1

***

Entry 10:
The following is a PBE calculation of a relaxed Ta2TcI2 crystal, from Alexandria.

Calculated values
- VASP energy: -6.09 eV/atom
- D(E_F): 7.90 states/eV per cell
- Uncorrected formation energy: 1.35 eV per atom
- Mass density: 11.8 g/cm³

Lattice parameters (Å, degrees): 7.656 7.656 3.434 90.00 90.00 90.00
Space group P4/mbm (No. 127)
Inequivalent atoms, fractional coordinates:
Ta: 0.136 0.364 0.000 x4
Tc: 0.000 0.000 0.500 x2
I: 0.166 0.666 0.500 x4

***

Entry 11:
The following is a PBE calculation of a relaxed Zn2Ga3Pd3 crystal, from Alexandria.

Calculated values
- VASP energy: -3.84 eV/atom
- DFT formation energy: -435 meV per atom
- D(E_F): 3.40 states/eV per cell
- Mass density: 8.7 g/cm³

Lattice parameters (Å, degrees): 7.4442 7.4442 5.2636 90.00 90.00 120.00
Space group P6_3/mcm (No. 193)
Inequivalent atoms, fractional coordinates:
Zn: 0.3333 0.6667 0.0000 x4
Ga: 0.0000 0.2510 0.2500 x6
Pd: 0.0000 0.3874 0.7500 x6

***

Entry 12:
The following is a PBE calculation of a relaxed RbNaFe2Cl8 crystal, from Alexandria.

Calculated values
- VASP energy: -4.02 eV/atom
- Uncorrected formation energy: -1.19 eV per atom
- Mass density: 2.0 g/cm³

Lattice parameters (Å, degrees): 11.130 7.415 9.931 90.00 94.53 90.00
Space group C2/m (No. 12)
Inequivalent atoms, fractional coordinates:
Rb: 0.000 0.000 0.000 x2
Na: 0.000 0.000 0.500 x2
Fe: 0.117 0.500 0.278 x4
Cl: 0.000 0.257 0.282 x8
Cl: 0.202 0.500 0.085 x4
Cl: 0.244 0.500 0.458 x4

***

Among the records above, which one has the lowest VASP energy?
MnV2PdC

***

What is the VASP energy in the seventh record?
-7.84 eV/atom